12
Lattice="9.680 -2.141 0.000 9.680 2.141 0.000 -2.546 0.000 8.540" Properties=species:S:1:pos:R:3 comment="Pm6GeTe3Pt2 (PBE, relaxed)" dos_at_fermi_per_ev_fu=6.695 e_form_raw_ev_per_atom=-1.23 space_group="C2/m (12)" pbc="T T T"
Pm -0.469 0.000 2.018
Pm 5.186 0.000 3.706
Pm 4.292 0.000 7.622
Pm 12.521 0.000 0.918
Pm 11.627 0.000 4.834
Pm 17.283 0.000 6.522
Ge 9.680 0.000 0.000
Te 1.056 0.000 7.161
Te 8.407 0.000 4.270
Te 15.757 0.000 1.379
Pt 2.386 0.000 2.881
Pt 14.427 0.000 5.659